# 1
Material: Pr2ZrSb3Pd4
Method: DFT, PBE
State: optimized geometry

- N(E_F): 0.633 states/eV/atom
- Raw formation energy: -811 kJ/mol of formula units

Cell: 4.471 4.471 11.397 Å, 90.00 90.00 90.00°
Space group P-4m2 (No. 115)
Asymmetric unit:
Pr 0.000 0.500 0.225
Zr 0.000 0.000 0.500
Sb 0.000 0.500 0.866
Sb 0.500 0.500 0.500
Pd 0.000 0.000 0.000
Pd 0.000 0.500 0.637
Pd 0.500 0.500 0.000

# 2
Material: PrScPd3
Method: DFT, PBE
State: optimized geometry

- E_form: -3.99 eV/f.u.
- N(E_F): 0.529 states/eV/atom

Cell: 9.852 5.642 7.262 Å, 90.00 94.25 90.00°
Space group P2_1/c (No. 14)
Asymmetric unit:
Pr 0.128 0.132 0.197
Sc 0.442 0.646 0.674
Pd 0.112 0.646 0.047
Pd 0.285 0.563 0.365
Pd 0.370 0.103 0.511

# 3
Material: PrSc2Pd3
Method: DFT, PBE
State: optimized geometry

- E_form: -4.99 eV/f.u.
- N(E_F): 0.626 states/eV/atom

Cell: 3.348 3.348 10.679 Å, 90.00 90.00 90.00°
Space group P4/mmm (No. 123)
Asymmetric unit:
Pr 0.000 0.000 0.000
Sc 0.000 0.000 0.343
Pd 0.500 0.500 0.205
Pd 0.500 0.500 0.500

# 4
Material: Pr2ScPd2
Method: DFT, PBE
State: optimized geometry

- E_form: -2.68 eV/f.u.
- N(E_F): 0.853 states/eV/atom

Cell: 8.026 11.103 6.039 Å, 90.00 90.00 90.00°
Space group Ibam (No. 72)
Asymmetric unit:
Pr 0.143 0.159 0.000
Sc 0.000 0.500 0.250
Pd 0.240 0.096 0.500

# 5
Material: PrSc2Pd9
Method: DFT, PBE
State: optimized geometry

- E_form: -9.54 eV/f.u.
- N(E_F): 0.813 states/eV/atom

Cell: 4.104 4.104 12.109 Å, 90.00 90.00 90.00°
Space group P4/mmm (No. 123)
Asymmetric unit:
Pr 0.000 0.000 0.000
Sc 0.000 0.000 0.341
Pd 0.000 0.500 0.180
Pd 0.000 0.500 0.500
Pd 0.500 0.500 0.000
Pd 0.500 0.500 0.339

# 6
Material: PrSc2Pd2
Method: DFT, PBE
State: optimized geometry

- E_form: -2.93 eV/f.u.
- N(E_F): 0.981 states/eV/atom

Cell: 12.418 5.907 7.826 Å, 90.00 122.93 90.00°
Space group C2/c (No. 15)
Asymmetric unit:
Pr 0.000 0.136 0.250
Sc 0.205 0.394 0.790
Pd 0.070 0.332 0.963

# 7
Material: PrSc4Pd5
Method: DFT, PBE
State: optimized geometry

- E_form: -8.55 eV/f.u.
- N(E_F): 0.676 states/eV/atom

Cell: 3.330 3.330 17.331 Å, 90.00 90.00 90.00°
Space group P4/mmm (No. 123)
Asymmetric unit:
Pr 0.000 0.000 0.000
Sc 0.000 0.000 0.212
Sc 0.000 0.000 0.405
Pd 0.500 0.500 0.127
Pd 0.500 0.500 0.311
Pd 0.500 0.500 0.500

# 8
Material: PrScPdSe3
Method: DFT, PBE
State: optimized geometry

- N(E_F): 0.056 states/eV/atom
- Raw formation energy: -876 kJ/mol of formula units

Cell: 7.510 3.945 9.428 Å, 90.00 104.26 90.00°
Space group P2_1/m (No. 11)
Asymmetric unit:
Pr 0.223 0.250 0.290
Sc 0.312 0.750 0.825
Pd 0.106 0.250 0.596
Se 0.073 0.250 0.859
Se 0.307 0.750 0.539
Se 0.421 0.750 0.134

# 9
Material: Pr2ScSi3Pd4
Method: DFT, PBE
State: optimized geometry

- N(E_F): 0.672 states/eV/atom
- Raw formation energy: -862 kJ/mol of formula units

Cell: 4.299 4.299 10.393 Å, 90.00 90.00 90.00°
Space group P-4m2 (No. 115)
Asymmetric unit:
Pr 0.000 0.500 0.235
Sc 0.000 0.000 0.500
Si 0.000 0.500 0.878
Si 0.500 0.500 0.500
Pd 0.000 0.000 0.000
Pd 0.000 0.500 0.645
Pd 0.500 0.500 0.000

# 10
Material: Pr2ScSiPd6
Method: DFT, PBE
State: optimized geometry

- N(E_F): 0.604 states/eV/atom
- Raw formation energy: -664 kJ/mol of formula units

Cell: 5.142 6.696 6.954 Å, 110.94 104.38 105.53°
Space group P-1 (No. 2)
Asymmetric unit:
Pr 0.174 0.172 0.322
Sc 0.000 0.500 0.000
Si 0.500 0.000 0.000
Pd 0.247 0.594 0.723
Pd 0.249 0.805 0.437
Pd 0.366 0.250 0.840

# 11
Material: PrScSi2Pd5
Method: DFT, PBE
State: optimized geometry

- N(E_F): 0.428 states/eV/atom
- Raw formation energy: -702 kJ/mol of formula units

Cell: 4.173 4.173 9.049 Å, 90.00 90.00 90.00°
Space group P4/mmm (No. 123)
Asymmetric unit:
Pr 0.000 0.000 0.000
Sc 0.000 0.000 0.500
Si 0.500 0.500 0.373
Pd 0.000 0.500 0.242
Pd 0.500 0.500 0.000

# 12
Material: Pr2ScSn3Pd4
Method: DFT, PBE
State: optimized geometry

- E_form: -8.15 eV/f.u.
- N(E_F): 0.671 states/eV/atom

Cell: 4.580 4.580 10.864 Å, 90.00 90.00 90.00°
Space group P-4m2 (No. 115)
Asymmetric unit:
Pr 0.000 0.500 0.233
Sc 0.000 0.000 0.500
Sn 0.000 0.500 0.872
Sn 0.500 0.500 0.500
Pd 0.000 0.000 0.000
Pd 0.000 0.500 0.633
Pd 0.500 0.500 0.000

# 13
Material: PrScSnPd
Method: DFT, PBE
State: optimized geometry

- E_form: -2.57 eV/f.u.
- N(E_F): 0.696 states/eV/atom

Cell: 7.269 7.269 7.269 Å, 90.00 90.00 90.00°
Space group F-43m (No. 216)
Asymmetric unit:
Pr 0.000 0.000 0.000
Sc 0.000 0.000 0.500
Sn 0.250 0.250 0.750
Pd 0.250 0.250 0.250

# 14
Material: PrScTe3Pd
Method: DFT, PBE
State: optimized geometry

- N(E_F): 0.078 states/eV/atom
- Raw formation energy: -694 kJ/mol of formula units

Cell: 7.923 4.184 10.101 Å, 90.00 102.97 90.00°
Space group P2_1/m (No. 11)
Asymmetric unit:
Pr 0.210 0.250 0.293
Sc 0.314 0.750 0.820
Te 0.076 0.250 0.861
Te 0.290 0.750 0.536
Te 0.415 0.750 0.134
Pd 0.088 0.250 0.594

# 15
Material: Pr2ScZn2Pd5
Method: DFT, PBE
State: optimized geometry

- E_form: -7.07 eV/f.u.
- N(E_F): 0.619 states/eV/atom

Cell: 10.001 10.001 3.840 Å, 90.00 90.00 90.00°
Space group P4/mbm (No. 127)
Asymmetric unit:
Pr 0.177 0.323 0.000
Sc 0.000 0.000 0.000
Zn 0.119 0.619 0.000
Pd 0.000 0.500 0.500
Pd 0.064 0.793 0.500

# 16
Material: Pr2ScZnPd6
Method: DFT, PBE
State: optimized geometry

- E_form: -6.05 eV/f.u.
- N(E_F): 0.624 states/eV/atom

Cell: 11.729 5.668 7.752 Å, 90.00 129.25 90.00°
Space group C2/m (No. 12)
Asymmetric unit:
Pr 0.001 0.000 0.243
Sc 0.000 0.500 0.500
Zn 0.000 0.500 0.000
Pd 0.183 0.500 0.933
Pd 0.250 0.244 0.694

# 17
Material: PrScZn2Pd5
Method: DFT, PBE
State: optimized geometry

- E_form: -4.95 eV/f.u.
- N(E_F): 0.620 states/eV/atom

Cell: 4.163 4.163 9.407 Å, 90.00 90.00 90.00°
Space group P4/mmm (No. 123)
Asymmetric unit:
Pr 0.000 0.000 0.000
Sc 0.000 0.000 0.500
Zn 0.500 0.500 0.376
Pd 0.000 0.500 0.232
Pd 0.500 0.500 0.000

# 18
Material: Pr3PdSe2
Method: DFT, PBE
State: optimized geometry

- N(E_F): 1.125 states/eV/atom
- Raw formation energy: -823 kJ/mol of formula units

Cell: 4.169 6.082 13.103 Å, 90.00 90.00 90.00°
Space group Immm (No. 71)
Asymmetric unit:
Pr 0.000 0.000 0.000
Pr 0.000 0.000 0.336
Pd 0.000 0.500 0.000
Se 0.000 0.500 0.332

# 19
Material: PrPd4Se2
Method: DFT, PBE
State: optimized geometry

- N(E_F): 0.736 states/eV/atom
- Raw formation energy: -472 kJ/mol of formula units

Cell: 7.811 7.811 4.237 Å, 90.00 90.00 90.00°
Space group P4_2/mnm (No. 136)
Asymmetric unit:
Pr 0.000 0.000 0.000
Pd 0.094 0.344 0.500
Se 0.218 0.782 0.500

# 20
Material: PrPd3Se3
Method: DFT, PBE
State: optimized geometry

- N(E_F): 0.604 states/eV/atom
- Raw formation energy: -256 kJ/mol of formula units

Cell: 6.949 6.949 6.949 Å, 90.00 90.00 90.00°
Space group Pm-3n (No. 223)
Asymmetric unit:
Pr 0.000 0.000 0.000
Pd 0.000 0.250 0.500
Se 0.000 0.500 0.250

Total energy, record by record: -59.65, -122.71, -38.01, -115.83, -73.72, -123.04, -64.62, -71.67, -61.86, -59.36, -55.19, -56.82, -91.52, -65.85, -102.95, -108.74, -44.57, -70.07, -74.82, -66.93 eV per cell
Volume, record by record: 22.78, 20.13, 19.95, 26.91, 16.99, 24.09, 19.22, 22.56, 19.21, 19.91, 17.51, 22.79, 24.01, 27.19, 19.21, 19.95, 18.12, 27.69, 18.47, 23.97 A^3/atom